Crystalline AcPa2Se7 at its relaxed geometry. Source: Alexandria via LeMat-Bulk, functional PBE.

Values from the calculation:
For the volume, the calculation gives 307.66 Å³ per cell. Its symmetry is Cmmm, No. 65. The density of states at the Fermi level is 2.39 states/eV/f.u. The raw total energy is -6.02 eV per atom. Its uncorrected formation energy is -1.2680 eV/atom.

a b c (Å): 7.984 7.984 5.312
angles (deg): 90.00 90.00 114.70
Sites, in units of the cell vectors:
Ac 0.000 0.000 0.000
Pa 0.295 0.705 0.500
Pa 0.705 0.295 0.500
Se 0.071 0.310 0.500
Se 0.257 0.743 0.000
Se 0.310 0.071 0.500
Se 0.500 0.500 0.500
Se 0.690 0.929 0.500
Se 0.743 0.257 0.000
Se 0.929 0.690 0.500

---

Crystalline AcPa2Se5 at its relaxed geometry. Source: Alexandria via LeMat-Bulk, functional PBE.

Values from the calculation:
For the volume, the calculation gives 415.73 Å³ per cell. Its symmetry is I4/mcm, No. 140. The density of states at the Fermi level is 8.88 states/eV/f.u. The raw total energy is -6.65 eV per atom. Its uncorrected formation energy is -1.5889 eV/atom.

a b c (Å): 8.812 8.812 8.812
angles (deg): 127.70 127.70 77.10
Sites, in units of the cell vectors:
Ac 0.250 0.250 0.000
Ac 0.750 0.750 0.000
Pa 0.150 0.650 0.800
Pa 0.350 0.150 0.500
Pa 0.650 0.850 0.500
Pa 0.850 0.350 0.200
Se 0.000 0.000 0.000
Se 0.014 0.204 0.500
Se 0.204 0.704 0.191
Se 0.296 0.486 0.500
Se 0.486 0.986 0.191
Se 0.500 0.500 0.000
Se 0.514 0.014 0.809
Se 0.704 0.514 0.500
Se 0.796 0.296 0.809
Se 0.986 0.796 0.500

---

Crystalline AcPa4Se12 at its relaxed geometry. Source: Alexandria via LeMat-Bulk, functional PBE.

Values from the calculation:
For the volume, the calculation gives 545.50 Å³ per cell. Its symmetry is Im-3, No. 204. The density of states at the Fermi level is 19.59 states/eV/f.u. The raw total energy is -6.20 eV per atom. Its uncorrected formation energy is -1.2672 eV/atom.

a b c (Å): 8.915 8.915 8.915
angles (deg): 109.47 109.47 109.47
Sites, in units of the cell vectors:
Ac 0.000 0.000 0.000
Pa 0.000 0.000 0.500
Pa 0.000 0.500 0.000
Pa 0.500 0.000 0.000
Pa 0.500 0.500 0.500
Se 0.133 0.836 0.296
Se 0.164 0.296 0.460
Se 0.164 0.704 0.867
Se 0.296 0.133 0.836
Se 0.296 0.460 0.164
Se 0.460 0.164 0.296
Se 0.540 0.836 0.704
Se 0.704 0.540 0.836
Se 0.704 0.867 0.164
Se 0.836 0.296 0.133
Se 0.836 0.704 0.540
Se 0.867 0.164 0.704

---

Crystalline AcPaSe4 at its relaxed geometry. Source: Alexandria via LeMat-Bulk, functional PBE.

Values from the calculation:
For the volume, the calculation gives 341.74 Å³ per cell. Its symmetry is P4/mbm, No. 127. The density of states at the Fermi level is 3.63 states/eV/f.u. The distance to the lowest polymorph of the same formula comes out at 158 meV per atom. The raw total energy is -5.95 eV per atom. Its uncorrected formation energy is -1.3549 eV/atom.

a b c (Å): 6.667 6.667 7.688
angles (deg): 90.00 90.00 90.00
Sites, in units of the cell vectors:
Ac 0.000 0.000 0.000
Ac 0.500 0.500 0.000
Pa 0.000 0.000 0.500
Pa 0.500 0.500 0.500
Se 0.210 0.290 0.275
Se 0.210 0.290 0.725
Se 0.290 0.790 0.275
Se 0.290 0.790 0.725
Se 0.710 0.210 0.275
Se 0.710 0.210 0.725
Se 0.790 0.710 0.275
Se 0.790 0.710 0.725

---

Crystalline Ac6PaSe12 at its relaxed geometry. Source: Alexandria via LeMat-Bulk, functional PBE.

Values from the calculation:
For the volume, the calculation gives 651.56 Å³ per cell. Its symmetry is R-3, No. 148. The density of states at the Fermi level is 13.09 states/eV/f.u. The raw total energy is -5.83 eV per atom. Its uncorrected formation energy is -1.8301 eV/atom.

a b c (Å): 8.784 8.784 8.784
angles (deg): 98.72 98.72 98.72
Sites, in units of the cell vectors:
Ac 0.127 0.638 0.801
Ac 0.199 0.873 0.362
Ac 0.362 0.199 0.873
Ac 0.638 0.801 0.127
Ac 0.801 0.127 0.638
Ac 0.873 0.362 0.199
Pa 0.500 0.500 0.500
Se 0.060 0.322 0.917
Se 0.083 0.940 0.678
Se 0.187 0.533 0.438
Se 0.322 0.917 0.060
Se 0.438 0.187 0.533
Se 0.467 0.562 0.813
Se 0.533 0.438 0.187
Se 0.562 0.813 0.467
Se 0.678 0.083 0.940
Se 0.813 0.467 0.562
Se 0.917 0.060 0.322
Se 0.940 0.678 0.083

---

Crystalline AcPaSe4 at its relaxed geometry. Source: Alexandria via LeMat-Bulk, functional PBE.

Values from the calculation:
For the volume, the calculation gives 421.46 Å³ per cell. Its symmetry is Cmmm, No. 65. The distance to the lowest polymorph of the same formula comes out at 0 meV per atom. The raw total energy is -6.10 eV per atom. Its uncorrected formation energy is -1.5132 eV/atom.

a b c (Å): 9.648 9.798 4.458
angles (deg): 90.00 90.00 90.00
Sites, in units of the cell vectors:
Ac 0.000 0.000 0.000
Ac 0.500 0.500 0.000
Pa 0.000 0.500 0.500
Pa 0.500 0.000 0.500
Se 0.000 0.322 0.000
Se 0.000 0.678 0.000
Se 0.216 0.000 0.500
Se 0.284 0.500 0.500
Se 0.500 0.178 0.000
Se 0.500 0.822 0.000
Se 0.716 0.500 0.500
Se 0.784 0.000 0.500

---

Crystalline Ac5Pa2Se12 at its relaxed geometry. Source: Alexandria via LeMat-Bulk, functional PBE.

Values from the calculation:
For the volume, the calculation gives 648.19 Å³ per cell. Its symmetry is C2/m, No. 12. The density of states at the Fermi level is 3.86 states/eV/f.u. The raw total energy is -6.08 eV per atom. Its uncorrected formation energy is -1.8034 eV/atom.

a b c (Å): 9.421 9.421 9.899
angles (deg): 105.77 105.77 50.67
Sites, in units of the cell vectors:
Ac 0.000 0.000 0.000
Ac 0.297 0.297 0.139
Ac 0.311 0.311 0.673
Ac 0.689 0.689 0.327
Ac 0.703 0.703 0.861
Pa 0.252 0.748 0.500
Pa 0.748 0.252 0.500
Se 0.001 0.001 0.309
Se 0.096 0.564 0.414
Se 0.102 0.599 0.931
Se 0.401 0.898 0.069
Se 0.436 0.904 0.586
Se 0.497 0.497 0.292
Se 0.503 0.503 0.708
Se 0.564 0.096 0.414
Se 0.599 0.102 0.931
Se 0.898 0.401 0.069
Se 0.904 0.436 0.586
Se 0.999 0.999 0.691

---

Crystalline AcPa4Se8 at its relaxed geometry. Source: Alexandria via LeMat-Bulk, functional PBE.

Values from the calculation:
For the volume, the calculation gives 421.92 Å³ per cell. Its symmetry is F-43m, No. 216. The density of states at the Fermi level is 24.73 states/eV/f.u. The raw total energy is -6.66 eV per atom. Its uncorrected formation energy is -1.2811 eV/atom.

a b c (Å): 8.419 8.419 8.419
angles (deg): 60.00 60.00 60.00
Sites, in units of the cell vectors:
Ac 0.000 0.000 0.000
Pa 0.166 0.611 0.611
Pa 0.611 0.166 0.611
Pa 0.611 0.611 0.166
Pa 0.611 0.611 0.611
Se 0.372 0.372 0.372
Se 0.372 0.372 0.883
Se 0.372 0.883 0.372
Se 0.427 0.858 0.858
Se 0.858 0.427 0.858
Se 0.858 0.858 0.427
Se 0.858 0.858 0.858
Se 0.883 0.372 0.372

---

Crystalline AcPa2Se4 at its relaxed geometry. Source: Alexandria via LeMat-Bulk, functional PBE.

Values from the calculation:
For the volume, the calculation gives 393.21 Å³ per cell. Its symmetry is Cmcm, No. 63. The density of states at the Fermi level is 8.27 states/eV/f.u. The raw total energy is -6.74 eV per atom. Its uncorrected formation energy is -1.4456 eV/atom.

a b c (Å): 6.949 6.949 14.261
angles (deg): 90.00 90.00 145.18
Sites, in units of the cell vectors:
Ac 0.109 0.891 0.750
Ac 0.891 0.109 0.250
Pa 0.362 0.638 0.558
Pa 0.362 0.638 0.942
Pa 0.638 0.362 0.058
Pa 0.638 0.362 0.442
Se 0.000 0.000 0.000
Se 0.000 0.000 0.500
Se 0.272 0.728 0.127
Se 0.272 0.728 0.373
Se 0.435 0.565 0.750
Se 0.565 0.435 0.250
Se 0.728 0.272 0.627
Se 0.728 0.272 0.873

---

Crystalline SrAc2PaSe6 at its relaxed geometry. Source: Alexandria via LeMat-Bulk, functional PBE.

Values from the calculation:
For the volume, the calculation gives 348.81 Å³ per cell. Its symmetry is R3, No. 146. The density of states at the Fermi level is 0.87 states/eV/f.u. The raw total energy is -5.81 eV per atom. Its uncorrected formation energy is -1.7844 eV/atom.

a b c (Å): 8.077 8.077 8.077
angles (deg): 57.23 57.23 57.23
Sites, in units of the cell vectors:
Sr 0.000 0.000 0.000
Ac 0.286 0.286 0.286
Ac 0.792 0.792 0.792
Pa 0.491 0.491 0.491
Se 0.118 0.685 0.393
Se 0.220 0.608 0.859
Se 0.393 0.118 0.685
Se 0.608 0.859 0.220
Se 0.685 0.393 0.118
Se 0.859 0.220 0.608

---

Crystalline Ac2PaTl2Se6 at its relaxed geometry. Source: Alexandria via LeMat-Bulk, functional PBE.

Values from the calculation:
For the volume, the calculation gives 398.34 Å³ per cell. Its symmetry is C2/m, No. 12. The density of states at the Fermi level is 1.65 states/eV/f.u. The raw total energy is -5.35 eV per atom. Its uncorrected formation energy is -1.4053 eV/atom.

a b c (Å): 7.707 7.707 8.125
angles (deg): 99.25 99.25 119.43
Sites, in units of the cell vectors:
Ac 0.166 0.834 0.000
Ac 0.834 0.166 0.000
Pa 0.500 0.500 0.000
Tl 0.333 0.667 0.500
Tl 0.667 0.333 0.500
Se 0.120 0.432 0.792
Se 0.266 0.266 0.212
Se 0.432 0.120 0.792
Se 0.568 0.880 0.208
Se 0.734 0.734 0.788
Se 0.880 0.568 0.208

---

Crystalline Ac2PaTl3Se6 at its relaxed geometry. Source: Alexandria via LeMat-Bulk, functional PBE.

Values from the calculation:
For the volume, the calculation gives 398.84 Å³ per cell. Its symmetry is C2/m, No. 12. The density of states at the Fermi level is 8.48 states/eV/f.u. The raw total energy is -5.06 eV per atom. Its uncorrected formation energy is -1.2460 eV/atom.

a b c (Å): 7.707 7.707 8.165
angles (deg): 99.10 99.10 119.93
Sites, in units of the cell vectors:
Ac 0.166 0.834 0.000
Ac 0.834 0.166 0.000
Pa 0.500 0.500 0.000
Tl 0.000 0.000 0.500
Tl 0.331 0.669 0.500
Tl 0.669 0.331 0.500
Se 0.117 0.429 0.788
Se 0.261 0.261 0.217
Se 0.429 0.117 0.788
Se 0.571 0.883 0.212
Se 0.739 0.739 0.783
Se 0.883 0.571 0.212

---

Question: The highest raw total energy belongs to which entry?
Answer: Ac2PaTl3Se6

---

Question: What is the raw total energy in the sixth record?
Answer: -6.10 eV per atom